1.
Compound: BaTl2Pb
Source: Alexandria
Functional: PBE
Structure: optimized geometry Values from VASP.

```
&SYSTEM
  ibrav = 0, nat = 4, ntyp = 3
/
ATOMIC_SPECIES
Pb 207.20 Pb.upf
Tl 204.38 Tl.upf
Ba 137.33 Ba.upf
ATOMIC_POSITIONS crystal
Pb 0.500 0.750 0.750
Tl 0.000 0.943 0.976
Tl 0.000 0.557 0.524
Ba 0.500 0.250 0.250
CELL_PARAMETERS angstrom
-3.757 -2.220 3.641
2.788 -2.439 1.389
2.038 3.976 4.527
```

Summary:
- Energy relative to the elements: -0.233 eV/atom
- Size of the total moment: 0.0 μB per formula unit
- Relative energy among the computed polymorphs: 0.085 eV/atom
- Space-group type: P2/m (10)
- DOS at the Fermi energy: 2.02 states/eV per cell
- Total energy: -2.824 eV per atom



2.
Compound: BaTl2Pb
Source: Alexandria
Functional: PBE
Structure: optimized geometry Values from VASP.

```
&SYSTEM
  ibrav = 0, nat = 4, ntyp = 3
/
ATOMIC_SPECIES
Pb 207.20 Pb.upf
Tl 204.38 Tl.upf
Ba 137.33 Ba.upf
ATOMIC_POSITIONS crystal
Pb 0.250 0.750 0.500
Tl 0.000 0.000 0.000
Tl 0.750 0.250 0.500
Ba 0.500 0.500 0.000
CELL_PARAMETERS angstrom
-1.846 -3.900 -4.329
4.892 -3.563 -0.854
-2.782 1.357 5.270
```

Summary:
- Energy relative to the elements: -0.271 eV/atom
- Size of the total moment: 0.0 μB per formula unit
- Relative energy among the computed polymorphs: 0.047 eV/atom
- Space-group type: Imm2 (44)
- DOS at the Fermi energy: 1.47 states/eV per cell
- Total energy: -2.862 eV per atom



3.
Compound: Ba2Tl4Pb3
Source: Alexandria
Functional: PBE
Structure: optimized geometry Values from VASP.

```
&SYSTEM
  ibrav = 0, nat = 18, ntyp = 3
/
ATOMIC_SPECIES
Ba 137.33 Ba.upf
Tl 204.38 Tl.upf
Pb 207.20 Pb.upf
ATOMIC_POSITIONS crystal
Ba 0.113 0.579 0.227
Ba 0.887 0.421 0.773
Ba 0.387 0.079 0.773
Ba 0.613 0.921 0.227
Tl 0.694 0.750 0.888
Tl 0.806 0.250 0.112
Tl 0.306 0.250 0.112
Tl 0.194 0.750 0.888
Tl 0.179 0.976 0.357
Tl 0.821 0.024 0.643
Tl 0.321 0.476 0.643
Tl 0.679 0.524 0.357
Pb 0.000 0.000 0.000
Pb 0.500 0.500 0.000
Pb 0.524 0.750 0.547
Pb 0.976 0.250 0.453
Pb 0.476 0.250 0.453
Pb 0.024 0.750 0.547
CELL_PARAMETERS angstrom
-4.927 -0.900 4.670
-1.040 -9.445 -2.917
8.828 -2.168 3.875
```

Summary:
- Energy relative to the elements: -0.265 eV/atom
- Size of the total moment: 0.0 μB per formula unit
- Relative energy among the computed polymorphs: 0.011 eV/atom
- Space-group type: Cmce (64)
- DOS at the Fermi energy: 10.32 states/eV per cell
- Total energy: -2.981 eV per atom



4.
Compound: BaTl5Pb7
Source: Alexandria
Functional: PBE
Structure: optimized geometry Values from VASP.

```
&SYSTEM
  ibrav = 0, nat = 13, ntyp = 3
/
ATOMIC_SPECIES
Ba 137.33 Ba.upf
Tl 204.38 Tl.upf
Pb 207.20 Pb.upf
ATOMIC_POSITIONS crystal
Ba 0.002 0.998 0.998
Tl 0.498 0.999 0.503
Tl 0.999 0.999 0.503
Tl 0.498 0.503 0.999
Tl 0.999 0.503 0.999
Tl 0.713 0.787 0.787
Pb 0.645 0.355 0.355
Pb 0.362 0.638 0.638
Pb 0.000 0.358 0.642
Pb 0.000 0.642 0.358
Pb 0.284 0.216 0.216
Pb 0.499 0.782 0.221
Pb 0.499 0.221 0.782
CELL_PARAMETERS angstrom
6.412 0.000 0.000
3.206 8.191 0.027
3.206 0.001 8.191
```

Summary:
- Energy relative to the elements: -0.074 eV/atom
- Size of the total moment: 0.0 μB per formula unit
- Space-group type: Imm2 (44)
- DOS at the Fermi energy: 5.50 states/eV per cell
- Total energy: -3.129 eV per atom



5.
Compound: BaTlPb2
Source: Alexandria
Functional: PBE
Structure: optimized geometry Values from VASP.

```
&SYSTEM
  ibrav = 0, nat = 4, ntyp = 3
/
ATOMIC_SPECIES
Pb 207.20 Pb.upf
Tl 204.38 Tl.upf
Ba 137.33 Ba.upf
ATOMIC_POSITIONS crystal
Pb 0.000 0.000 0.000
Pb 0.500 0.500 0.000
Tl 0.500 0.000 0.500
Ba 0.000 0.500 0.500
CELL_PARAMETERS angstrom
6.263 0.070 0.000
-2.145 5.885 0.000
0.000 0.000 3.766
```

Summary:
- Energy relative to the elements: -0.232 eV/atom
- Size of the total moment: 0.0 μB per formula unit
- Relative energy among the computed polymorphs: 0.107 eV/atom
- Space-group type: Cmmm (65)
- DOS at the Fermi energy: 2.73 states/eV per cell
- Total energy: -3.158 eV per atom



6.
Compound: BaTl12Pb7
Source: Alexandria
Functional: PBE
Structure: optimized geometry Values from VASP.

```
&SYSTEM
  ibrav = 0, nat = 20, ntyp = 3
/
ATOMIC_SPECIES
Ba 137.33 Ba.upf
Tl 204.38 Tl.upf
Pb 207.20 Pb.upf
ATOMIC_POSITIONS crystal
Ba 0.000 0.000 0.000
Tl 0.352 0.244 0.596
Tl 0.352 0.756 0.108
Tl 0.648 0.756 0.404
Tl 0.648 0.244 0.892
Tl 0.596 0.352 0.244
Tl 0.892 0.648 0.244
Tl 0.404 0.648 0.756
Tl 0.108 0.352 0.756
Tl 0.756 0.108 0.352
Tl 0.244 0.892 0.648
Tl 0.244 0.596 0.352
Tl 0.756 0.404 0.648
Pb 0.500 0.000 0.500
Pb 0.500 0.500 0.000
Pb 0.000 0.500 0.500
Pb 0.000 0.000 0.500
Pb 0.500 0.000 0.000
Pb 0.500 0.500 0.500
Pb 0.000 0.500 0.000
CELL_PARAMETERS angstrom
10.088 0.000 0.000
-3.363 9.511 0.000
-3.363 -4.756 8.237
```

Summary:
- Energy relative to the elements: 0.176 eV/atom
- Size of the total moment: 0.0 μB per formula unit
- Space-group type: Im-3 (204)
- DOS at the Fermi energy: 15.89 states/eV per cell
- Total energy: -2.638 eV per atom